A plane-wave DFT calculation with PBE was carried out for crystalline NaMnBiAu2 at its relaxed geometry.

Results
Energy: -3.70 eV/atom

Cell: 5.547 5.179 5.547 Å, 90.00 90.00 90.00°
Last column: magnetic moment on the atom in μB.
Fractional positions:
Au (0.000, 0.000, 0.500)  0.00
Au (0.500, 0.000, 0.000)  0.00
Bi (0.000, 0.000, 0.000)  -0.11
Na (0.500, 0.500, 0.500)  -0.01
Mn (0.000, 0.500, 0.000)  3.89



A plane-wave DFT calculation with PBE was carried out for crystalline MnNb2BiAu at its relaxed geometry.

Results
Energy: -6.64 eV/atom

Cell: 4.578 5.014 4.578 Å, 90.00 90.00 90.00°
Fractional positions:
Au (0.000, 0.500, 0.000)
Mn (0.000, 0.000, 0.000)
Nb (0.000, 0.000, 0.500)
Nb (0.500, 0.000, 0.000)
Bi (0.500, 0.500, 0.500)



A plane-wave DFT calculation with PBE was carried out for crystalline MnBiOs2Au at its relaxed geometry.

Results
Energy: -4.91 eV/atom

Cell: 4.912 5.273 4.912 Å, 90.00 90.00 90.00°
Last column: magnetic moment on the atom in μB.
Fractional positions:
Mn (0.500, 0.500, 0.500)  0.21
Os (0.000, 0.000, 0.500)  1.85
Os (0.500, 0.000, 0.000)  1.24
Au (0.000, 0.000, 0.000)  0.17
Bi (0.000, 0.500, 0.000)  -0.10



A plane-wave DFT calculation with PBE was carried out for crystalline Mn2BiOsAu at its relaxed geometry.

Results
Energy: -5.28 eV/atom

Cell: 5.068 5.170 5.068 Å, 90.00 90.00 90.00°
Last column: magnetic moment on the atom in μB.
Fractional positions:
Mn (0.000, 0.000, 0.500)  4.03
Mn (0.500, 0.000, 0.000)  3.78
Au (0.000, 0.500, 0.000)  0.04
Bi (0.000, 0.000, 0.000)  -0.04
Os (0.500, 0.500, 0.500)  2.55



A plane-wave DFT calculation with PBE was carried out for crystalline MnBiPAu2 at its relaxed geometry.

Results
Energy: -4.50 eV/atom

Cell: 4.621 5.963 4.621 Å, 90.00 90.00 90.00°
Last column: magnetic moment on the atom in μB.
Fractional positions:
Au (0.000, 0.000, 0.500)  0.01
Au (0.500, 0.000, 0.000)  0.02
P (0.000, 0.000, 0.000)  0.02
Mn (0.500, 0.500, 0.500)  4.35
Bi (0.000, 0.500, 0.000)  -0.16



A plane-wave DFT calculation with PBE was carried out for crystalline MnBiPdAu at its relaxed geometry.

Results
Energy: -5.38 eV/atom

Cell: 4.780 4.780 4.780 Å, 60.00 60.00 60.00°
Last column: magnetic moment on the atom in μB.
Fractional positions:
Pd (0.000, 0.000, 0.000)  0.05
Mn (0.750, 0.750, 0.750)  3.96
Au (0.500, 0.500, 0.500)  -0.01
Bi (0.250, 0.250, 0.250)  -0.07



A plane-wave DFT calculation with PBE was carried out for crystalline MnTcBi2Au at its relaxed geometry.

Results
Energy: -4.14 eV/atom

Cell: 5.417 4.935 5.417 Å, 90.00 90.00 90.00°
Last column: magnetic moment on the atom in μB.
Fractional positions:
Mn (0.500, 0.500, 0.500)  0.30
Au (0.000, 0.000, 0.000)  0.00
Bi (0.500, 0.000, 0.000)  0.05
Bi (0.000, 0.000, 0.500)  0.02
Tc (0.000, 0.500, 0.000)  -0.24



A plane-wave DFT calculation with PBE was carried out for crystalline MnZnBi2Au at its relaxed geometry.

Results
Energy: -3.86 eV/atom

Cell: 5.018 4.760 5.018 Å, 90.00 90.00 90.00°
Fractional positions:
Au (0.500, 0.500, 0.500)
Mn (0.000, 0.000, 0.000)
Bi (0.500, 0.000, 0.000)
Bi (0.000, 0.000, 0.500)
Zn (0.000, 0.500, 0.000)